RbAgHg2F8: optimized geometry, GGA-PBE.

Lattice parameters (Å, degrees): 4.9331 5.7804 7.8174 84.14 89.01 87.91
Last column: nearest neighbours and their distance in Å.
Fractional positions:
Rb 0.0000 0.0000 0.0000  8 F 2.82-2.94
Ag 0.0000 0.0000 0.5000  4 F 1.98-1.99
Hg 0.4903 0.4986 0.2682  2 F 2.05
Hg 0.5097 0.5014 0.7318  2 F 2.05
F 0.0261 0.7604 0.7016  1 Ag 1.99
F 0.0343 0.7635 0.3339  1 Ag 1.98
F 0.4682 0.2545 0.4762  1 Hg 2.05
F 0.4861 0.2701 0.9476  1 Hg 2.05
F 0.5139 0.7299 0.0524  1 Hg 2.05
F 0.5318 0.7455 0.5238  1 Hg 2.05
F 0.9657 0.2365 0.6661  1 Ag 1.98
F 0.9739 0.2396 0.2984  1 Ag 1.99

Properties
Crystal system: triclinic
Energy relative to the elements, uncorrected (kJ per mole of atoms): -148.7
Volume (A^3/atom): 18.47
Space group: P-1, No. 2